Compound: KIrCl2
Source: the Alexandria database
Functional: PBE
Structure: relaxed

Properties
Magnetic moment, μB per atom: 0.0000
Excess energy over the best structure of this formula in the dataset, eV/atom: 0.2608
Crystal system: orthorhombic
DFT total energy, eV/atom: -3.6708
Formation energy from raw total energies, kJ/mol of atoms: -24.9

Cell: 3.7146 12.7943 7.5033 Å, 90.00 90.00 90.00°
Last column: nearest neighbours and their distance in Å.
Space group Cmmm (No. 65)
Inequivalent atoms, fractional coordinates:
K1 0.0000 0.0000 0.0000 (multiplicity 2)  4 Cl 2.95
Ir1 0.0000 0.0000 0.5000 (multiplicity 2)  4 Cl 2.36
Cl1 0.0000 0.5000 0.3061 (multiplicity 4)  2 Ir 2.36